Material: Ce2VF8
Method: DFT, GGA+U
State: optimized geometry

abc: 13.7104 3.6768 6.2653
angles: 90.00 101.97 90.00
With the nearest neighbours (Å) after each atom.
Space group C2/m (No. 12)
One atom of each set of equivalent atoms:
Ce 0.1759 0.0000 0.2011 (multiplicity 4)  6 F 2.30-2.45
V 0.0000 0.5000 0.5000 (multiplicity 2)  6 F 2.22-2.25
F 0.0178 0.0000 0.3146 (multiplicity 4)  2 V 2.22, 1 Ce 2.42, 1 F 2.47
F 0.0973 0.5000 0.0235 (multiplicity 4)  2 Ce 2.30
F 0.1623 0.5000 0.4845 (multiplicity 4)  1 V 2.25
F 0.2111 0.0000 0.8329 (multiplicity 4)  3 Ce 2.44-2.45, 1 F 2.59

Results
Calculated total energy in eV per atom: -6.647